one) Crystalline LiZn2Cu3 at its relaxed geometry, computed with GGA-PBE.

M_tot: 0.0 μB per cell

Cell: 3.8009 10.7398 3.7629 Å, 90.00 90.00 90.00°
Last column: nearest neighbours and their distance in Å.
Space group Cmmm (No. 65)
One atom of each set of equivalent atoms:
Li1 0.0000 0.0000 0.0000 (multiplicity 2)  4 Zn 2.58, 8 Cu 2.60-2.67
Zn1 0.0000 0.3370 0.0000 (multiplicity 4)  8 Cu 2.57-2.67, 2 Li 2.58, 2 Zn 2.67
Cu1 0.0000 0.1669 0.5000 (multiplicity 4)  2 Li 2.60, 4 Cu 2.61, 6 Zn 2.62-2.67
Cu2 0.0000 0.5000 0.5000 (multiplicity 2)  4 Zn 2.57, 4 Cu 2.61, 4 Li 2.67

***

two) Crystalline LiZn2Cu3 at its relaxed geometry, computed with GGA-PBE.

M_tot: 0.0 μB per cell

Cell: 8.7243 8.0254 4.9812 Å, 90.00 90.00 90.00°
Last column: nearest neighbours and their distance in Å.
Space group Cmcm (No. 63)
One atom of each set of equivalent atoms:
Li1 0.0000 0.1232 0.2500 (multiplicity 4)  5 Cu 2.71-2.84, 4 Zn 2.99
Zn1 0.1526 0.2455 0.7500 (multiplicity 8)  5 Cu 2.49-2.59, 1 Zn 2.66
Cu1 0.0000 0.4776 0.2500 (multiplicity 4)  6 Cu 2.51-2.52, 2 Zn 2.59
Cu2 0.2484 0.5000 0.0000 (multiplicity 8)  4 Zn 2.49-2.53, 4 Cu 2.49-2.51, 2 Li 2.71

***

On energetic grounds, one) is preferred over the next structure by 7.3 kJ/mol of atoms.

***

one) Crystalline LiZn5Cu2 at its relaxed geometry, computed with GGA-PBE.

M_tot: 0.0 μB per cell

Cell: 4.2486 4.2486 12.1341 Å, 90.00 90.00 90.00°
Last column: nearest neighbours and their distance in Å.
Space group I4/mmm (No. 139)
One atom of each set of equivalent atoms:
Li1 0.0000 0.0000 0.0000 (multiplicity 2)  8 Zn 2.65
Zn1 0.0000 0.0000 0.5000 (multiplicity 2)  8 Zn 2.65
Zn2 0.0000 0.5000 0.1311 (multiplicity 8)  4 Cu 2.56-2.57, 2 Zn 2.65, 2 Li 2.65
Cu1 0.0000 0.0000 0.2489 (multiplicity 4)  8 Zn 2.56-2.57

***

two) Crystalline LiZn5Cu2 at its relaxed geometry, computed with GGA-PBE.

M_tot: 0.0 μB per cell

Cell: 4.1416 7.4836 7.7861 Å, 90.00 90.00 90.00°
Last column: nearest neighbours and their distance in Å.
Space group Immm (No. 71)
One atom of each set of equivalent atoms:
Li1 0.0000 0.0000 0.0000 (multiplicity 2)  4 Cu 2.50
Zn1 0.0000 0.1711 0.3260 (multiplicity 8)  3 Cu 2.46-2.69, 4 Zn 2.56-2.71
Zn2 0.0000 0.5000 0.0000 (multiplicity 2)  2 Cu 2.49, 8 Zn 2.79
Cu1 0.0000 0.5000 0.3198 (multiplicity 4)  7 Zn 2.46-2.69, 2 Li 2.50

***

On energetic grounds, one) is preferred over the next structure by 9.8 kJ/mol of atoms.

***

one) Crystalline Li2Zn6Cu at its relaxed geometry, computed with GGA-PBE.

M_tot: 0.0 μB per cell

Cell: 2.7464 6.8023 7.1153 Å, 82.01 79.30 78.44°
Last column: nearest neighbours and their distance in Å.
Space group P-1 (No. 2)
One atom of each set of equivalent atoms:
Li1 0.0298 0.1674 0.2619 (multiplicity 2)  9 Zn 2.68-2.73, 1 Cu 2.72, 2 Li 2.75
Zn1 0.3031 0.8307 0.0721 (multiplicity 2)  2 Cu 2.69, 7 Zn 2.70-2.75, 3 Li 2.70-2.73
Zn2 0.3364 0.4984 0.3282 (multiplicity 2)  2 Cu 2.66-2.68, 2 Li 2.68, 8 Zn 2.70-2.78
Zn3 0.3688 0.1634 0.5941 (multiplicity 2)  8 Zn 2.66-2.75, 4 Li 2.69-2.71
Cu1 0.0000 0.5000 0.0000 (multiplicity 1)  8 Zn 2.66-2.69, 2 Li 2.72, 2 Cu 2.75

***

two) Crystalline Li2Zn6Cu at its relaxed geometry, computed with GGA-PBE.

M_tot: 0.0 μB per cell

Cell: 6.2298 11.3214 4.1304 Å, 90.00 90.00 90.00°
Last column: nearest neighbours and their distance in Å.
Space group Cmmm (No. 65)
One atom of each set of equivalent atoms:
Li1 0.0000 0.2197 0.0000 (multiplicity 4)  10 Zn 2.88-2.95, 2 Li 3.19
Zn1 0.2014 0.3587 0.5000 (multiplicity 8)  1 Cu 2.45, 4 Zn 2.51-2.63
Zn2 0.2441 0.5000 0.0000 (multiplicity 4)  2 Cu 2.61, 4 Zn 2.63
Cu1 0.0000 0.0000 0.5000 (multiplicity 2)  8 Zn 2.45-2.61

***

On energetic grounds, one) is preferred over the next structure by 5.7 kJ/mol of atoms.

***

one) Crystalline LiZn3Cu2 at its relaxed geometry, computed with GGA-PBE.

M_tot: 0.0 μB per cell

Cell: 5.4132 12.8988 4.8125 Å, 90.00 90.00 90.00°
Last column: nearest neighbours and their distance in Å.
Space group Cmcm (No. 63)
One atom of each set of equivalent atoms:
Li1 0.0000 0.1480 0.2500 (multiplicity 4)  4 Cu 2.63, 8 Zn 2.67-2.77
Zn1 0.0000 0.3542 0.7500 (multiplicity 4)  4 Cu 2.62, 6 Zn 2.67-2.80, 2 Li 2.71
Zn2 0.2455 0.1749 0.7500 (multiplicity 8)  2 Cu 2.56, 5 Zn 2.66-2.80, 3 Li 2.67-2.77
Cu1 0.2482 0.0000 0.0000 (multiplicity 8)  3 Cu 2.41-2.69, 4 Zn 2.56-2.62, 2 Li 2.63

***

two) Crystalline LiZn3Cu2 at its relaxed geometry, computed with GGA-PBE.

M_tot: 0.0 μB per cell

Cell: 6.5892 7.3021 6.7540 Å, 90.00 101.41 90.00°
Last column: nearest neighbours and their distance in Å.
Space group C2/c (No. 15)
One atom of each set of equivalent atoms:
Li1 0.0000 0.0880 0.2500 (multiplicity 4)  5 Zn 2.40-2.56
Zn1 0.0000 0.4190 0.2500 (multiplicity 4)  1 Li 2.42, 4 Zn 2.47-2.60
Zn2 0.2408 0.0816 0.9954 (multiplicity 8)  2 Li 2.40-2.56, 3 Zn 2.46-2.60, 1 Cu 2.67
Cu1 0.1249 0.2451 0.6243 (multiplicity 8)  2 Cu 2.58-2.59, 9 Zn 2.67-2.84, 3 Li 2.74-2.76

***

On energetic grounds, two) is preferred over the next structure by 3.7 kJ/mol of atoms.

***

one) Crystalline Li3Zn2Cu4 at its relaxed geometry, computed with GGA-PBE.

M_tot: 0.0 μB per cell

Cell: 8.2363 3.6844 8.0132 Å, 90.00 107.14 90.00°
Last column: nearest neighbours and their distance in Å.
Space group C2/m (No. 12)
One atom of each set of equivalent atoms:
Li1 0.0000 0.0000 0.0000 (multiplicity 2)  8 Cu 2.61-2.64, 4 Zn 2.62
Li2 0.1631 0.5000 0.5550 (multiplicity 4)  3 Li 2.57-2.64, 6 Cu 2.57-2.72, 3 Zn 2.69-2.70
Zn1 0.1631 0.5000 0.2180 (multiplicity 4)  7 Cu 2.59-2.64, 5 Li 2.62-2.70
Cu1 0.0083 0.0000 0.6730 (multiplicity 4)  6 Li 2.57-2.72, 3 Zn 2.59-2.62, 3 Cu 2.61-2.74
Cu2 0.1689 0.5000 0.8900 (multiplicity 4)  4 Zn 2.60-2.64, 4 Li 2.61-2.67, 4 Cu 2.61-2.63

***

two) Crystalline Li3Zn2Cu4 at its relaxed geometry, computed with GGA-PBE.

M_tot: 0.0 μB per cell

Cell: 7.0169 4.3241 7.8165 Å, 90.00 96.26 90.00°
Last column: nearest neighbours and their distance in Å.
Space group C2/m (No. 12)
One atom of each set of equivalent atoms:
Li1 0.0000 0.0000 0.0000 (multiplicity 2)  8 Cu 2.55-2.62, 2 Li 2.74
Li2 0.1683 0.5000 0.7789 (multiplicity 4)  7 Cu 2.57-2.59, 2 Zn 2.71-2.73, 1 Li 2.74
Zn1 0.1675 0.5000 0.4324 (multiplicity 4)  5 Cu 2.52-2.80, 3 Zn 2.62-2.68, 2 Li 2.71-2.73
Cu1 0.0012 0.0000 0.6645 (multiplicity 4)  4 Zn 2.52-2.80, 2 Cu 2.57-2.78, 4 Li 2.57-2.62
Cu2 0.1649 0.5000 0.1090 (multiplicity 4)  1 Zn 2.53, 7 Li 2.55-2.59, 2 Cu 2.72-2.78

***

On energetic grounds, one) is preferred over the next structure by 6.2 kJ/mol of atoms.

***

one) Crystalline LiZn4Cu3 at its relaxed geometry, computed with GGA-PBE.

M_tot: 0.0 μB per cell

Cell: 2.8241 4.2960 17.7756 Å, 90.00 90.00 90.00°
Last column: nearest neighbours and their distance in Å.
Space group Immm (No. 71)
One atom of each set of equivalent atoms:
Li1 0.0000 0.0000 0.0000 (multiplicity 2)  4 Cu 2.57, 4 Zn 2.69, 2 Li 2.82
Zn1 0.0000 0.0000 0.2649 (multiplicity 4)  2 Cu 2.58, 10 Zn 2.62-2.86
Zn2 0.0000 0.5000 0.3709 (multiplicity 4)  4 Cu 2.59, 2 Li 2.69, 6 Zn 2.80-2.86
Cu1 0.0000 0.0000 0.5000 (multiplicity 2)  4 Cu 2.46, 4 Li 2.57
Cu2 0.0000 0.5000 0.1136 (multiplicity 4)  2 Cu 2.46, 6 Zn 2.58-2.59

***

two) Crystalline LiZn4Cu3 at its relaxed geometry, computed with GGA-PBE.

M_tot: 0.0 μB per cell

Cell: 4.1932 4.1932 5.9845 Å, 90.00 90.00 90.00°
Last column: nearest neighbours and their distance in Å.
Space group P4/mmm (No. 123)
One atom of each set of equivalent atoms:
Li1 0.0000 0.0000 0.0000 (multiplicity 1)  8 Zn 2.58
Zn1 0.0000 0.5000 0.2508 (multiplicity 4)  6 Cu 2.57-2.58, 2 Li 2.58
Cu1 0.0000 0.0000 0.5000 (multiplicity 1)  8 Zn 2.57
Cu2 0.5000 0.5000 0.0000 (multiplicity 1)  8 Zn 2.58
Cu3 0.5000 0.5000 0.5000 (multiplicity 1)  8 Zn 2.57

***

On energetic grounds, two) is preferred over the next structure by 5.2 kJ/mol of atoms.

***

one) Crystalline LiZn2Cu4 at its relaxed geometry, computed with GGA-PBE.

M_tot: 0.0 μB per cell

Cell: 4.9119 8.8641 8.8766 Å, 90.00 90.00 90.00°
Last column: nearest neighbours and their distance in Å.
Space group Fmmm (No. 69)
One atom of each set of equivalent atoms:
Li1 0.0000 0.0000 0.0000 (multiplicity 4)  4 Cu 2.67-2.70
Zn1 0.2500 0.2500 0.2500 (multiplicity 8)  2 Zn 2.46, 8 Cu 2.58
Cu1 0.0000 0.0000 0.3041 (multiplicity 8)  4 Cu 2.47-2.64, 4 Zn 2.58, 1 Li 2.70
Cu2 0.0000 0.1986 0.5000 (multiplicity 8)  4 Cu 2.47-2.62, 4 Zn 2.58, 1 Li 2.67

***

two) Crystalline LiZn2Cu4 at its relaxed geometry, computed with GGA-PBE.

M_tot: 0.0 μB per cell

Cell: 6.5440 11.0838 2.5538 Å, 90.00 90.00 90.00°
Last column: nearest neighbours and their distance in Å.
Space group Pbam (No. 55)
One atom of each set of equivalent atoms:
Li1 0.0000 0.0000 0.0000 (multiplicity 2)  6 Cu 2.46-2.64, 2 Li 2.55, 4 Zn 2.71
Zn1 0.1861 0.3892 0.5000 (multiplicity 4)  2 Zn 2.55, 6 Cu 2.57-2.66, 2 Li 2.71
Cu1 0.0102 0.7785 0.0000 (multiplicity 4)  1 Li 2.46, 6 Cu 2.54-2.58, 4 Zn 2.59-2.66
Cu2 0.2128 0.6208 0.5000 (multiplicity 4)  6 Cu 2.54-2.58, 2 Zn 2.57-2.61, 2 Li 2.64

***

On energetic grounds, one) is preferred over the next structure by 2.4 kJ/mol of atoms.

***

one) Crystalline LiZnCu5 at its relaxed geometry, computed with GGA-PBE.

M_tot: 0.0 μB per cell

Cell: 5.0231 7.4624 5.0302 Å, 90.00 90.00 90.00°
Last column: nearest neighbours and their distance in Å.
Space group Cmmm (No. 65)
One atom of each set of equivalent atoms:
Li1 0.0000 0.0000 0.0000 (multiplicity 2)  10 Cu 2.51-2.58
Zn1 0.0000 0.5000 0.5000 (multiplicity 2)  10 Cu 2.52-2.57
Cu1 0.0000 0.5000 0.0000 (multiplicity 2)  2 Li 2.51, 2 Zn 2.52, 8 Cu 2.58
Cu2 0.2500 0.2500 0.2520 (multiplicity 8)  6 Cu 2.50-2.58, 2 Zn 2.57, 2 Li 2.58

***

two) Crystalline LiZnCu5 at its relaxed geometry, computed with GGA-PBE.

M_tot: 0.0 μB per cell

Cell: 4.6738 4.8555 8.4162 Å, 90.00 90.00 90.00°
Last column: nearest neighbours and their distance in Å.
Space group Imm2 (No. 44)
One atom of each set of equivalent atoms:
Li1 0.0000 0.0000 0.0000 (multiplicity 2)  3 Cu 2.31-2.47
Zn1 0.0000 0.5000 0.3019 (multiplicity 2)  8 Cu 2.44-2.69
Cu1 0.0000 0.0000 0.2743 (multiplicity 2)  1 Li 2.31, 2 Cu 2.40, 2 Zn 2.44
Cu2 0.0000 0.2569 0.7473 (multiplicity 4)  6 Cu 2.36-2.63, 1 Li 2.47
Cu3 0.2473 0.5000 0.0225 (multiplicity 4)  5 Cu 2.31-2.56

***

On energetic grounds, one) is preferred over the next structure by 6.6 kJ/mol of atoms.

***

one) Crystalline LiZn6Cu2 at its relaxed geometry, computed with GGA-PBE.

M_tot: 0.0 μB per cell

Cell: 5.2424 5.2424 6.6091 Å, 90.00 90.00 120.00°
Last column: nearest neighbours and their distance in Å.
Space group P6/mmm (No. 191)
One atom of each set of equivalent atoms:
Li1 0.0000 0.0000 0.0000 (multiplicity 1)  12 Zn 2.92
Zn1 0.0000 0.5000 0.1960 (multiplicity 6)  2 Cu 2.52, 5 Zn 2.59-2.62
Cu1 0.3333 0.6667 0.5000 (multiplicity 2)  6 Zn 2.52

***

two) Crystalline LiZn6Cu2 at its relaxed geometry, computed with GGA-PBE.

M_tot: 0.0 μB per cell

Cell: 4.2486 4.2486 7.8738 Å, 90.00 90.00 120.00°
Last column: nearest neighbours and their distance in Å.
Space group P-3m1 (No. 164)
One atom of each set of equivalent atoms:
Li1 0.0000 0.0000 0.0000 (multiplicity 1)  8 Zn 2.53-2.59
Zn1 0.0000 0.0000 0.3212 (multiplicity 2)  1 Li 2.53, 3 Cu 2.58, 4 Zn 2.63-2.82
Zn2 0.3333 0.6667 0.5588 (multiplicity 2)  7 Zn 2.62-2.65, 1 Cu 2.66
Zn3 0.3333 0.6667 0.8947 (multiplicity 2)  4 Cu 2.56-2.62, 3 Li 2.59, 1 Zn 2.65
Cu1 0.3333 0.6667 0.2205 (multiplicity 2)  8 Zn 2.56-2.66

***

On energetic grounds, two) is preferred over the next structure by 15.9 kJ/mol of atoms.

***

one) Crystalline Li2Zn5Cu2 at its relaxed geometry, computed with GGA-PBE.

M_tot: 0.0 μB per cell

Cell: 4.4745 4.5983 6.8414 Å, 76.84 77.87 79.27°
Last column: nearest neighbours and their distance in Å.
Space group P-1 (No. 2)
One atom of each set of equivalent atoms:
Li1 0.1937 0.0215 0.3333 (multiplicity 2)  1 Zn 2.53, 1 Li 2.55, 2 Cu 2.58-2.65
Zn1 0.0000 0.5000 0.0000 (multiplicity 1)  4 Cu 2.53-2.65, 4 Zn 2.63-2.67
Zn2 0.2256 0.4263 0.5880 (multiplicity 2)  3 Zn 2.48-2.64, 2 Cu 2.49-2.65
Zn3 0.2828 0.9789 0.8947 (multiplicity 2)  1 Li 2.53, 3 Cu 2.59-2.70, 5 Zn 2.60-2.71
Cu1 0.4155 0.5380 0.1885 (multiplicity 2)  7 Zn 2.49-2.70, 2 Li 2.58-2.65, 1 Cu 2.62

***

two) Crystalline Li2Zn5Cu2 at its relaxed geometry, computed with GGA-PBE.

M_tot: 0.0 μB per cell

Cell: 15.7049 6.0655 5.9653 Å, 90.00 90.00 90.00°
Last column: nearest neighbours and their distance in Å.
Space group Ima2 (No. 46)
One atom of each set of equivalent atoms:
Li1 0.0000 0.0000 0.0000 (multiplicity 4)  8 Zn 3.01-3.27, 8 Cu 3.12-3.35
Li2 0.2500 0.0246 0.0045 (multiplicity 4)  10 Zn 2.67-2.88
Zn1 0.1373 0.2404 0.7469 (multiplicity 8)  2 Cu 2.43, 2 Li 2.68-2.69, 2 Zn 2.71-2.72
Zn2 0.1565 0.7403 0.2461 (multiplicity 8)  2 Cu 2.42-2.43, 2 Zn 2.64-2.65, 2 Li 2.67-2.68
Zn3 0.2500 0.0169 0.4865 (multiplicity 4)  8 Zn 2.64-2.72, 2 Li 2.78-2.88, 2 Cu 2.78
Cu1 0.0732 0.5192 0.9856 (multiplicity 8)  1 Cu 2.31, 4 Zn 2.42-2.43

***

On energetic grounds, one) is preferred over the next structure by 8.6 kJ/mol of atoms.

***

one) Crystalline Li3Zn4Cu4 at its relaxed geometry, computed with GGA-PBE.

M_tot: 0.0 μB per cell

Cell: 2.6127 3.7932 14.8762 Å, 97.23 95.00 90.00°
Last column: nearest neighbours and their distance in Å.
Space group P-1 (No. 2)
One atom of each set of equivalent atoms:
Li1 0.0000 0.0000 0.0000 (multiplicity 1)  2 Li 2.61, 2 Cu 2.69, 8 Zn 2.71-2.73
Li2 0.3563 0.3622 0.7247 (multiplicity 2)  5 Zn 2.60-2.69, 2 Li 2.61, 5 Cu 2.64-2.68
Zn1 0.1879 0.1848 0.3687 (multiplicity 2)  6 Cu 2.59-2.73, 2 Zn 2.61, 4 Li 2.68-2.69
Zn2 0.4456 0.4512 0.9015 (multiplicity 2)  5 Li 2.60-2.73, 4 Cu 2.61-2.62, 3 Zn 2.61-2.90
Cu1 0.0987 0.0906 0.1828 (multiplicity 2)  5 Zn 2.61-2.73, 2 Cu 2.61, 5 Li 2.67-2.69
Cu2 0.2714 0.2725 0.5451 (multiplicity 2)  5 Zn 2.59-2.63, 6 Cu 2.61-2.66, 1 Li 2.64

***

two) Crystalline Li3Zn4Cu4 at its relaxed geometry, computed with GGA-PBE.

M_tot: 0.0 μB per cell

Cell: 3.6298 7.2623 12.8832 Å, 90.00 90.00 90.00°
Last column: nearest neighbours and their distance in Å.
Space group Immm (No. 71)
One atom of each set of equivalent atoms:
Li1 0.0000 0.0000 0.0000 (multiplicity 2)  6 Cu 3.02-3.10, 8 Zn 3.16
Li2 0.0000 0.5000 0.1179 (multiplicity 4)  6 Cu 2.57-2.66
Zn1 0.0000 0.3080 0.3304 (multiplicity 8)  4 Cu 2.41-2.52
Cu1 0.0000 0.0000 0.2408 (multiplicity 4)  6 Zn 2.47-2.52, 2 Li 2.57
Cu2 0.0000 0.1668 0.5000 (multiplicity 4)  2 Zn 2.41, 1 Cu 2.42, 4 Li 2.66

***

On energetic grounds, one) is preferred over the next structure by 11.4 kJ/mol of atoms.